The following is a PBEsol calculation of an optimized crystal structure of CrGePt2C, from Alexandria via LeMat-Bulk.

Structure (POSCAR):
```
CrGePt2C
1.0
4.709 0.000 0.000
0.000 4.709 0.000
0.000 0.000 3.722
Cr Ge Pt C
1 1 2 1
Direct
0.000 0.000 0.000
0.500 0.500 0.500
0.000 0.500 0.500
0.500 0.000 0.500
0.500 0.500 0.000
```

Output
ΔH_f (0 K), eV/f.u.: 6.8
Total moment, μB/cell: 4.13
Raw total energy, Ry/atom: -0.46986
Crystal system: tetragonal

***

The following is a PBEsol calculation of an optimized crystal structure of CrTcGeC2, from Alexandria via LeMat-Bulk.

Structure (POSCAR):
```
CrTcGeC2
1.0
3.704 0.000 0.000
0.000 3.704 0.000
0.000 0.000 4.770
Cr Tc Ge C
1 1 1 2
Direct
0.000 0.000 0.000
0.500 0.500 0.500
0.000 0.000 0.500
0.000 0.500 0.000
0.500 0.000 0.000
```

Output
ΔH_f (0 K), eV/f.u.: 8.3
Total moment, μB/cell: 3.02
Raw total energy, Ry/atom: -0.55050
Crystal system: tetragonal

***

The following is a PBEsol calculation of an optimized crystal structure of TlCrGeC2, from Alexandria via LeMat-Bulk.

Structure (POSCAR):
```
TlCrGeC2
1.0
4.227 0.000 0.000
0.000 4.227 0.000
0.000 0.000 5.245
Tl Cr Ge C
1 1 1 2
Direct
0.000 0.000 0.000
0.000 0.000 0.500
0.500 0.500 0.500
0.000 0.500 0.000
0.500 0.000 0.000
```

Output
ΔH_f (0 K), eV/f.u.: 14.4
Total moment, μB/cell: 2.69
Raw total energy, Ry/atom: -0.33319
Crystal system: tetragonal